## Na3FeSe (PBE)

Data for a relaxed Na3FeSe crystal.

```
Na3FeSe
1.0
5.394 0.000 0.000
0.000 5.394 0.000
0.000 0.000 5.394
Na Fe Se
3 1 1
direct
0.000 0.000 0.500
0.000 0.500 0.000
0.500 0.000 0.000
0.000 0.000 0.000
0.500 0.500 0.500
```

Values from the calculation:
For the energy above the most stable polymorph in this dataset, the calculation gives 376 meV per atom. Its space-group type is Pm-3m, No. 221. As for the formation energy (no corrections): 0.52 eV/atom.

## ZnMo2Au (PBE)

Data for a relaxed ZnMo2Au crystal.

```
ZnMo2Au
1.0
3.986 0.000 0.000
0.000 3.986 0.000
0.000 0.000 7.982
Zn Mo Au
2 4 2
direct
0.000 0.000 0.000
0.500 0.500 0.500
0.000 0.000 0.500
0.000 0.500 0.250
0.500 0.000 0.750
0.500 0.500 0.000
0.000 0.500 0.750
0.500 0.000 0.250
```

Values from the calculation:
The value obtained for the formation energy is 0.21 eV/atom. Its space-group type is I-4m2, No. 119.

## Pr5Ho2Er12 (PBE)

Data for a relaxed Pr5Ho2Er12 crystal.

```
Pr5Ho2Er12
1.0
7.805 -4.637 0.000
7.805 4.637 0.000
-0.323 0.000 8.618
Pr Ho Er
5 2 12
direct
0.000 0.000 0.000
0.231 0.231 0.070
0.293 0.293 0.482
0.707 0.707 0.518
0.769 0.769 0.930
0.326 0.674 0.500
0.674 0.326 0.500
0.032 0.674 0.261
0.075 0.075 0.377
0.181 0.561 0.831
0.326 0.968 0.739
0.439 0.819 0.169
0.444 0.444 0.165
0.556 0.556 0.835
0.561 0.181 0.831
0.674 0.032 0.261
0.819 0.439 0.169
0.925 0.925 0.623
0.968 0.326 0.739
```

Values from the calculation:
The value obtained for the formation energy is 0.12 eV/atom. For the energy above the most stable polymorph in this dataset, the calculation gives 0 meV per atom. Its space-group type is C2/m, No. 12.

## NpU2MoC4 (PBE)

Data for a relaxed NpU2MoC4 crystal.

```
NpU2MoC4
1.0
5.838 0.000 0.000
0.000 3.349 0.000
-1.883 0.000 5.550
Np U Mo C
1 2 1 4
direct
0.000 0.000 0.000
0.500 0.000 0.500
0.500 0.500 0.000
0.000 0.500 0.500
0.229 0.000 0.729
0.235 0.500 0.269
0.765 0.500 0.731
0.771 0.000 0.271
```

Values from the calculation:
The value obtained for the formation energy is -0.10 eV/atom. Its space-group type is P2/m, No. 10.

## ZnSi4Hg (PBE)

Data for a relaxed ZnSi4Hg crystal.

```
ZnSi4Hg
1.0
0.000 3.741 3.741
3.741 0.000 3.741
3.741 3.741 0.000
Zn Si Hg
1 4 1
direct
0.000 0.000 0.000
0.374 0.374 0.374
0.374 0.374 0.878
0.374 0.878 0.374
0.878 0.374 0.374
0.750 0.750 0.750
```

Values from the calculation:
Its space-group type is F-43m, No. 216. As for the formation energy (no corrections): 0.54 eV/atom.

## Al2GaSb2 (PBE)

Data for a relaxed Al2GaSb2 crystal.

```
Al2GaSb2
1.0
7.918 0.000 0.000
0.000 7.918 0.000
0.000 0.000 3.726
Al Ga Sb
4 2 4
direct
0.132 0.368 0.000
0.368 0.868 0.000
0.632 0.132 0.000
0.868 0.632 0.000
0.000 0.000 0.500
0.500 0.500 0.500
0.164 0.664 0.500
0.336 0.164 0.500
0.664 0.836 0.500
0.836 0.336 0.500
```

Values from the calculation:
For the energy above the most stable polymorph in this dataset, the calculation gives 81 meV per atom. Its space-group type is P4/mbm, No. 127. As for the formation energy (no corrections): 0.18 eV/atom.

## Li3Ti2NbO6 (PBE)

Data for a relaxed Li3Ti2NbO6 crystal.

```
Li3Ti2NbO6
1.0
6.647 -1.469 0.000
6.647 1.469 0.000
-1.834 0.000 5.840
Li Ti Nb O
3 2 1 6
direct
0.000 0.000 0.000
0.332 0.332 0.680
0.668 0.668 0.320
0.342 0.342 0.183
0.658 0.658 0.817
0.000 0.000 0.500
0.172 0.172 0.596
0.174 0.174 0.058
0.498 0.498 0.762
0.502 0.502 0.238
0.826 0.826 0.942
0.828 0.828 0.404
```

Values from the calculation:
Its space-group type is C2/m, No. 12. As for the formation energy (no corrections): -2.46 eV/atom.

## Cu7Se2S2 (PBE)

Data for a relaxed Cu7Se2S2 crystal.

```
Cu7Se2S2
1.0
3.860 -3.868 0.000
3.860 3.868 0.000
0.000 0.000 5.985
Cu Se S
7 2 2
direct
0.000 0.000 0.000
0.000 0.500 0.228
0.000 0.500 0.772
0.500 0.000 0.228
0.500 0.000 0.772
0.500 0.500 0.290
0.500 0.500 0.710
0.223 0.777 0.500
0.777 0.223 0.500
0.282 0.282 0.000
0.718 0.718 0.000
```

Values from the calculation:
For the energy above the most stable polymorph in this dataset, the calculation gives 0 meV per atom. Its space-group type is Cmmm, No. 65. As for the formation energy (no corrections): -0.07 eV/atom.

## Pm4Si3Tc (PBE)

Data for a relaxed Pm4Si3Tc crystal.

```
Pm4Si3Tc
1.0
3.927 0.000 0.000
0.000 4.382 0.000
0.000 0.000 11.022
Pm Si Tc
4 3 1
direct
0.000 0.000 0.000
0.000 0.500 0.495
0.500 0.000 0.277
0.500 0.500 0.778
0.000 0.000 0.701
0.000 0.500 0.204
0.500 0.000 0.563
0.500 0.500 0.067
```

Values from the calculation:
Its space-group type is Pmm2, No. 25. As for the formation energy (no corrections): -0.56 eV/atom.

## NdHoSn (PBE)

Data for a relaxed NdHoSn crystal.

```
NdHoSn
1.0
4.637 0.000 0.000
0.000 4.637 0.000
0.000 0.000 17.031
Nd Ho Sn
4 4 4
direct
0.000 0.000 0.176
0.000 0.000 0.824
0.500 0.500 0.324
0.500 0.500 0.676
0.000 0.500 0.000
0.000 0.500 0.500
0.500 0.000 0.000
0.500 0.000 0.500
0.000 0.000 0.367
0.000 0.000 0.633
0.500 0.500 0.133
0.500 0.500 0.867
```

Values from the calculation:
The value obtained for the formation energy is -0.61 eV/atom. For the energy above the most stable polymorph in this dataset, the calculation gives 0 meV per atom. Its space-group type is I4/mmm, No. 139.

## BaFe2Co (PBE)

Data for a relaxed BaFe2Co crystal.

```
BaFe2Co
1.0
3.173 0.000 0.000
0.000 3.173 0.000
0.000 0.000 7.432
Ba Fe Co
1 2 1
direct
0.000 0.000 0.000
0.500 0.500 0.347
0.500 0.500 0.653
0.000 0.000 0.500
```

Values from the calculation:
The value obtained for the formation energy is 0.58 eV/atom. For the energy above the most stable polymorph in this dataset, the calculation gives 248 meV per atom. Its space-group type is P4/mmm, No. 123.

## TcIr2Ru3 (PBE)

Data for a relaxed TcIr2Ru3 crystal.

```
TcIr2Ru3
1.0
5.764 -1.924 0.000
5.764 1.924 0.000
-3.853 0.000 7.692
Tc Ir Ru
2 4 6
direct
0.127 0.127 0.131
0.873 0.873 0.869
0.209 0.209 0.874
0.460 0.460 0.125
0.540 0.540 0.875
0.791 0.791 0.126
0.043 0.043 0.376
0.292 0.292 0.626
0.375 0.375 0.377
0.625 0.625 0.623
0.708 0.708 0.374
0.957 0.957 0.624
```

Values from the calculation:
The value obtained for the formation energy is -0.02 eV/atom. Its space-group type is C2/m, No. 12.